Record 1
This record from Alexandria describes a geometry-optimized Pr5HoSn3 structure. The functional is PBE.

Space group: No. 193
DFT total energy, eV/atom: -5.051
Energy of formation, eV per atom: -0.55

Cell lengths 9.6815, 9.6815, 6.7841 Å; angles 90.00, 90.00, 120.00 degrees
Fractional coordinates of all 18 atoms:
Pr 0.0000 0.3306 0.2500
Pr 0.0000 0.6694 0.7500
Pr 0.3306 0.0000 0.2500
Pr 0.3306 0.3306 0.7500
Pr 0.3333 0.6667 0.0000
Pr 0.3333 0.6667 0.5000
Pr 0.6667 0.3333 0.0000
Pr 0.6667 0.3333 0.5000
Pr 0.6694 0.0000 0.7500
Pr 0.6694 0.6694 0.2500
Ho 0.0000 0.0000 0.0000
Ho 0.0000 0.0000 0.5000
Sn 0.0000 0.3328 0.7500
Sn 0.0000 0.6672 0.2500
Sn 0.3328 0.0000 0.7500
Sn 0.3328 0.3328 0.2500
Sn 0.6672 0.0000 0.2500
Sn 0.6672 0.6672 0.7500

=====

Record 2
This record from Alexandria describes a geometry-optimized Pr2Ho3Sn2 structure. The functional is PBE.

Space group: No. 12
DFT total energy, eV/atom: -4.934
Energy of formation, eV per atom: -0.46

Cell lengths 6.4999, 6.4999, 8.6129 Å; angles 109.43, 109.43, 40.43 degrees
Fractional coordinates of all 7 atoms:
Pr 0.1376 0.1376 0.2938
Pr 0.8624 0.8624 0.7062
Ho 0.3744 0.3744 0.0580
Ho 0.5000 0.5000 0.5000
Ho 0.6256 0.6256 0.9420
Sn 0.1667 0.1667 0.7061
Sn 0.8333 0.8333 0.2939

=====

Record 3
This record from Alexandria describes a geometry-optimized PrHo2Sn structure. The functional is PBE.

Excess energy over the best structure of this formula in the dataset, eV per atom: 0.000
Space group: No. 11
DFT total energy, eV/atom: -4.904
Energy of formation, eV per atom: -0.42

Cell lengths 4.6760, 4.7504, 11.4844 Å; angles 90.00, 101.62, 90.00 degrees
Fractional coordinates of all 8 atoms:
Pr 0.1912 0.2500 0.3865
Pr 0.8088 0.7500 0.6135
Ho 0.0570 0.7500 0.1148
Ho 0.4370 0.7500 0.8727
Ho 0.5630 0.2500 0.1273
Ho 0.9430 0.2500 0.8852
Sn 0.3412 0.2500 0.6770
Sn 0.6588 0.7500 0.3230

=====

Record 4
This record from Alexandria describes a geometry-optimized TbPrHoSn structure. The functional is PBE.

Space group: No. 216
DFT total energy, eV/atom: -4.747
Energy of formation, eV per atom: -0.25

Cell lengths 5.4839, 5.4839, 5.4839 Å; angles 60.00, 60.00, 60.00 degrees
Fractional coordinates of all 4 atoms:
Tb 0.0000 0.0000 0.0000
Pr 0.5000 0.5000 0.5000
Ho 0.2500 0.2500 0.2500
Sn 0.7500 0.7500 0.7500

=====

Record 5
This record from Alexandria describes a geometry-optimized PrHoZnSn structure. The functional is PBE.

Space group: No. 216
DFT total energy, eV/atom: -4.155
Energy of formation, eV per atom: -0.50

Cell lengths 5.2782, 5.2782, 5.2782 Å; angles 60.00, 60.00, 60.00 degrees
Fractional coordinates of all 4 atoms:
Pr 0.0000 0.0000 0.0000
Ho 0.5000 0.5000 0.5000
Zn 0.7500 0.7500 0.7500
Sn 0.2500 0.2500 0.2500

=====

Record 6
This record from Alexandria describes a geometry-optimized SrPrHo2 structure. The functional is PBE.

Excess energy over the best structure of this formula in the dataset, eV per atom: 0.009
Space group: No. 123
DFT total energy, eV/atom: -3.770
Energy of formation, eV per atom: 0.13

Cell lengths 3.7255, 3.7255, 10.6195 Å; angles 90.00, 90.00, 90.00 degrees
Fractional coordinates of all 4 atoms:
Sr 0.0000 0.0000 0.0000
Pr 0.0000 0.0000 0.5000
Ho 0.5000 0.5000 0.2755
Ho 0.5000 0.5000 0.7245

=====

- Which value of DFT total energy does entry 2 give?
  -4.934 eV/atom

=====

- Among the records above, which one has the highest energy of formation?
  SrPrHo2